Record 1
The following is a DFT calculation (meta-GGA SCAN) of KYPb2 at its PBEsol-relaxed geometry.

Computed properties:
* total moment: 0.091 μB per formula unit
* ΔE to the lowest computed polymorph: 47 meV per atom

abc: 3.4753 3.4753 9.9052
angles: 90.00 90.00 90.00
Space group P4/mmm (No. 123)
One atom of each set of equivalent atoms:
1 K 0.0000 0.0000 0.0000 (multiplicity 1)
2 Y 0.0000 0.0000 0.5000 (multiplicity 1)
3 Pb 0.5000 0.5000 0.2730 (multiplicity 2)

---

Record 2
The following is a DFT calculation (meta-GGA SCAN) of K2ZnPb at its PBEsol-relaxed geometry.

Computed properties:
* total moment: 0.000 μB per formula unit

abc: 11.4310 4.7709 6.1018
angles: 90.00 122.08 90.00
Space group Cm (No. 8)
One atom of each set of equivalent atoms:
1 K 0.0000 0.0000 0.0000 (multiplicity 2)
2 K 0.1908 0.0000 0.6902 (multiplicity 2)
3 Zn 0.3985 0.0000 0.3972 (multiplicity 2)
4 Pb 0.2844 0.5000 0.2850 (multiplicity 2)

---

Record 3
The following is a DFT calculation (meta-GGA SCAN) of K2ZnPb at its PBEsol-relaxed geometry.

Computed properties:
* total moment: 0.000 μB per formula unit

abc: 4.4838 4.9785 5.5991
angles: 90.00 90.00 90.00
Space group Pmmm (No. 47)
One atom of each set of equivalent atoms:
1 K 0.0000 0.0000 0.0000 (multiplicity 1)
2 K 0.5000 0.5000 0.0000 (multiplicity 1)
3 Zn 0.0000 0.5000 0.5000 (multiplicity 1)
4 Pb 0.5000 0.0000 0.5000 (multiplicity 1)

---

no.,energy of formation (meV per atom)
1,-528
2,-192
3,92